Density functional theory data (PBE-GGA) for Ga3TeSe after structural relaxation.

Energy above the lowest structure with this stoichiometry: 0.0 meV/atom
DFT total energy: -14.9 eV/f.u.

Unit cell a=5.282 b=5.282 c=5.282 alpha=90.00 beta=90.00 gamma=90.00
Space group Pm-3m (No. 221)
Asymmetric unit:
Ga (0.000, 0.000, 0.500) x3
Te (0.500, 0.500, 0.500) x1
Se (0.000, 0.000, 0.000) x1


Density functional theory data (PBE-GGA) for RbNaTcO4 after structural relaxation.

DFT total energy: -43.8 eV/f.u.

Unit cell a=6.200 b=6.200 c=8.841 alpha=90.00 beta=90.00 gamma=90.00
Space group I-4 (No. 82)
Asymmetric unit:
Rb (0.000, 0.000, 0.000) x2
Na (0.000, 0.000, 0.500) x2
Tc (0.000, 0.500, 0.750) x2
O (0.123, 0.298, 0.633) x8


no.,uncorrected formation energy (kcal/mol of atoms),total moment (μB per formula unit)
1,3.71,0.000
2,-37.19,1.003